No. 1
Below is crystalline LiSb2Au at its relaxed geometry, with properties calculated at the GGA-PBE level.

Cell: 5.884 3.360 4.702 Å, 90.01 90.00 90.00°
Atoms (fractional coordinates):
Au (0.000, 0.622, 0.534)
Li (0.500, 0.628, 0.716)
Sb (0.000, 0.122, 0.027)
Sb (0.500, 0.128, 0.222)

Computed properties:
crystal system = monoclinic
space-group type = Pm
polymorph energy (0 for the lowest one) = 80 meV per atom
total DFT energy (no corrections) = -3.52 eV per atom


No. 2
Below is crystalline Li3Sb2Au5 at its relaxed geometry, with properties calculated at the GGA-PBE level.

Cell: 5.462 9.135 9.135 Å, 97.19 72.61 72.61°
Atoms (fractional coordinates):
Li (0.250, 0.000, 0.000)
Li (0.750, 0.000, 0.000)
Li (0.382, 0.461, 0.776)
Li (0.618, 0.539, 0.224)
Li (0.882, 0.776, 0.461)
Li (0.118, 0.224, 0.539)
Sb (0.089, 0.752, 0.071)
Sb (0.911, 0.248, 0.929)
Sb (0.589, 0.071, 0.752)
Sb (0.411, 0.929, 0.248)
Au (0.250, 0.500, 0.500)
Au (0.750, 0.500, 0.500)
Au (0.490, 0.760, 0.760)
Au (0.010, 0.240, 0.240)
Au (0.510, 0.240, 0.240)
Au (0.990, 0.760, 0.760)
Au (0.209, 0.466, 0.117)
Au (0.791, 0.534, 0.883)
Au (0.709, 0.117, 0.466)
Au (0.291, 0.883, 0.534)

Computed properties:
crystal system = orthorhombic
space-group type = Ibam
total DFT energy (no corrections) = -3.29 eV per atom


Question: Number 1 is which compound?
Answer: LiSb2Au